! TbSm2ScTe4 (PBE, optimized geometry); values from VASP
! - Total magnetic moment: 0.00 μB per cell
! - E_form (uncorrected): -29.6 kcal/mol of atoms
&SYSTEM
  ibrav = 0, nat = 8, ntyp = 4
/
ATOMIC_SPECIES
Te 127.60 Te.upf
Sm 150.36 Sm.upf
Sc 44.96 Sc.upf
Tb 158.93 Tb.upf
ATOMIC_POSITIONS angstrom
Te -3.443 0.863 4.202
Te -4.011 -3.513 4.660
Sm -4.170 0.666 1.183
Sc 0.000 0.000 0.000
Tb -0.574 -4.284 0.384
Te 0.285 -4.209 3.320
Sm -1.579 -1.673 3.761
Te -2.311 -1.778 0.669
CELL_PARAMETERS angstrom
-3.165 -1.945 -2.194
2.017 -6.623 2.963
-5.175 3.277 4.560